1.
Pr5AsP4 | PBE | optimized geometry

a = 4.2275 Å, b = 5.9720 Å, c = 21.1237 Å
α = 90.00°, β = 90.00°, γ = 90.00°
Space group Immm (No. 71)
Symmetry-distinct sites (fractional):
Pr  0.0000  0.0000  0.0000
Pr  0.0000  0.0000  0.1997
Pr  0.0000  0.0000  0.3973
As  0.0000  0.5000  0.0000
P  0.0000  0.5000  0.2010
P  0.0000  0.5000  0.3997

Calculated values
ΔE_f: -15.11 eV per formula unit


2.
Pr4As2P | PBE | optimized geometry

a = 9.0193 Å, b = 9.0193 Å, c = 9.1118 Å
α = 90.00°, β = 90.00°, γ = 90.00°
Space group I-42d (No. 122)
Symmetry-distinct sites (fractional):
Pr  0.0665  0.1888  0.3058
As  0.1206  0.2500  0.6250
P  0.0000  0.0000  0.0000

Calculated values
ΔE_f: -8.85 eV per formula unit


3.
PrAs2P2Pt7 | PBE | optimized geometry

a = 5.5880 Å, b = 5.5881 Å, c = 14.9876 Å
α = 90.00°, β = 100.49°, γ = 90.00°
Space group C2/m (No. 12)
Symmetry-distinct sites (fractional):
Pr  0.0000  0.0000  0.0000
As  0.2195  0.0000  0.4283
P  0.1216  0.5000  0.2483
Pt  0.0000  0.5000  0.0000
Pt  0.1717  0.2500  0.8403
Pt  0.1955  0.5000  0.4033

Calculated values
ΔE_f: -6.22 eV per formula unit


4.
Pr2AsPPt6 | PBE | optimized geometry

a = 5.6131 Å, b = 8.3804 Å, c = 8.5123 Å
α = 90.00°, β = 90.00°, γ = 90.00°
Space group Pmmn (No. 59, origin choice 2)
Symmetry-distinct sites (fractional):
Pr  0.2500  0.0053  0.2361
As  0.2500  0.7500  0.7866
P  0.2500  0.2500  0.7527
Pt  0.0023  0.7500  0.4912
Pt  0.0044  0.2500  0.9762
Pt  0.2500  0.5033  0.6266

Calculated values
ΔE_f: -8.98 eV per formula unit


5.
Pr2AsP3Rh4 | PBE | optimized geometry

a = 4.2058 Å, b = 4.2058 Å, c = 9.7792 Å
α = 90.00°, β = 90.00°, γ = 90.00°
Space group P-4m2 (No. 115)
Symmetry-distinct sites (fractional):
Pr  0.0000  0.5000  0.2475
As  0.5000  0.5000  0.0000
P  0.0000  0.0000  0.0000
P  0.0000  0.5000  0.6350
Rh  0.0000  0.0000  0.5000
Rh  0.0000  0.5000  0.8765
Rh  0.5000  0.5000  0.5000

Calculated values
ΔE_f: -10.34 eV per formula unit


6.
Pr2As3PRh4 | PBE | optimized geometry

a = 4.2945 Å, b = 4.2945 Å, c = 9.8800 Å
α = 90.00°, β = 90.00°, γ = 90.00°
Space group P-4m2 (No. 115)
Symmetry-distinct sites (fractional):
Pr  0.0000  0.5000  0.2412
As  0.0000  0.0000  0.0000
As  0.0000  0.5000  0.6392
P  0.5000  0.5000  0.0000
Rh  0.0000  0.0000  0.5000
Rh  0.0000  0.5000  0.8897
Rh  0.5000  0.5000  0.5000

Calculated values
ΔE_f: -9.73 eV per formula unit